# 1
VASP calculation (PBE) on a relaxed structure of Rb2TcTe4.

Summary:
The total magnetic moment is 3.612 μB/cell. The calculation puts the electronic total energy at -26.4 eV/cell. The density comes out at 4695 kg/m3. The calculation puts the uncorrected formation energy at -0.217 eV per atom. As for the space group: I4/mmm, No. 139. The value obtained for the density of states at the Fermi level is 8.9 states/eV/f.u.

```
7
Lattice="5.471 0.000 0.000 0.000 5.471 0.000 2.736 2.736 9.208" Properties=species:S:1:pos:R:3 pbc="T T T"
Te 2.736 2.736 6.500
Rb 2.736 2.736 2.744
Te 0.000 2.736 0.000
Tc 0.000 0.000 0.000
Te 2.736 0.000 0.000
Rb 5.471 5.471 6.464
Te 5.471 5.471 2.708
```

---

# 2
VASP calculation (PBE) on a relaxed structure of Rb3TcTe.

Summary:
The total magnetic moment is 4.004 μB/cell. The calculation puts the electronic total energy at -13.4 eV/cell. The density comes out at 2381 kg/m3. The calculation puts the uncorrected formation energy at 0.600 eV per atom. As for the space group: Pm-3m, No. 221. The value obtained for the density of states at the Fermi level is 30.0 states/eV/f.u.

```
5
Lattice="6.953 0.000 0.000 0.000 6.953 0.000 0.000 0.000 6.953" Properties=species:S:1:pos:R:3 pbc="T T T"
Te 0.000 0.000 0.000
Rb 3.477 0.000 0.000
Rb 0.000 0.000 3.477
Tc 3.477 3.477 3.477
Rb 0.000 3.477 0.000
```

---

# 3
VASP calculation (PBE) on a relaxed structure of RbTcTe2.

Summary:
The total magnetic moment is 1.785 μB/cell. The calculation puts the electronic total energy at -17.8 eV/cell. The density comes out at 5279 kg/m3. The calculation puts the uncorrected formation energy at -0.040 eV per atom. As for the space group: R-3m, No. 166. The value obtained for the density of states at the Fermi level is 3.9 states/eV/f.u.

```
4
Lattice="-4.599 -7.911 4.965 -0.840 -8.381 6.119 -3.190 -5.821 8.020" Properties=species:S:1:pos:R:3 pbc="T T T"
Te -1.002 -2.568 2.219
Tc -4.314 -11.056 9.552
Rb 0.000 0.000 0.000
Te -7.627 -19.545 16.885
```

---

# 4
VASP calculation (PBE) on a relaxed structure of RbTc3Te.

Summary:
The total magnetic moment is 3.940 μB/cell. The calculation puts the electronic total energy at -26.6 eV/cell. The density comes out at 6583 kg/m3. The calculation puts the uncorrected formation energy at 1.725 eV per atom. As for the space group: Pm-3m, No. 221. The value obtained for the density of states at the Fermi level is 6.2 states/eV/f.u.

```
5
Lattice="5.038 0.000 0.000 0.000 5.038 0.000 0.000 0.000 5.038" Properties=species:S:1:pos:R:3 pbc="T T T"
Tc 2.519 0.000 0.000
Tc 0.000 2.519 0.000
Te 0.000 0.000 0.000
Tc 0.000 0.000 2.519
Rb 2.519 2.519 2.519
```

---

# 5
VASP calculation (PBE) on a relaxed structure of RbTcTe2.

Summary:
The total magnetic moment is 0.000 μB/cell. The calculation puts the electronic total energy at -15.8 eV/cell. The density comes out at 7424 kg/m3. The calculation puts the uncorrected formation energy at 0.455 eV per atom. As for the space group: Fm-3m, No. 225. The value obtained for the density of states at the Fermi level is 0.4 states/eV/f.u.

```
4
Lattice="-1.727 -2.792 -4.003 -4.511 1.201 -2.239 -0.066 2.054 -4.752" Properties=species:S:1:pos:R:3 pbc="T T T"
Te -1.576 0.116 -2.748
Tc -3.152 0.231 -5.497
Te -4.728 0.347 -8.245
Rb 0.000 0.000 0.000
```

---

# 6
VASP calculation (PBE) on a relaxed structure of RbTcTe3.

Summary:
The total magnetic moment is 2.853 μB/cell. The calculation puts the electronic total energy at -20.8 eV/cell. The density comes out at 5723 kg/m3. The calculation puts the uncorrected formation energy at -0.012 eV per atom. As for the space group: Pm-3m, No. 221. The value obtained for the density of states at the Fermi level is 5.0 states/eV/f.u.

```
5
Lattice="-5.162 -0.598 1.732 0.280 -5.374 -1.022 1.810 -0.874 5.095" Properties=species:S:1:pos:R:3 pbc="T T T"
Tc 0.000 0.000 0.000
Te -2.581 -0.299 0.866
Te 0.905 -0.437 2.547
Rb -1.536 -3.423 2.902
Te 0.140 -2.687 -0.511
```

---

# 7
VASP calculation (PBE) on a relaxed structure of RbTcTe3.

Summary:
The total magnetic moment is 0.000 μB/cell. The calculation puts the electronic total energy at -9.8 eV/cell. The density comes out at 4464 kg/m3. The calculation puts the uncorrected formation energy at 2.188 eV per atom. As for the space group: Pm-3m, No. 221. The value obtained for the density of states at the Fermi level is 27.7 states/eV/f.u.

```
5
Lattice="5.950 0.000 0.000 0.000 5.950 0.000 0.000 0.000 5.950" Properties=species:S:1:pos:R:3 pbc="T T T"
Te 0.000 0.000 2.975
Rb 0.000 0.000 0.000
Tc 2.975 2.975 2.975
Te 2.975 0.000 0.000
Te 0.000 2.975 0.000
```

---

# 8
VASP calculation (PBE) on a relaxed structure of Rb2TcTe.

Summary:
The total magnetic moment is 6.349 μB/cell. The calculation puts the electronic total energy at -24.0 eV/cell. The density comes out at 4863 kg/m3. The calculation puts the uncorrected formation energy at 0.867 eV per atom. As for the space group: I-42d, No. 122. The value obtained for the density of states at the Fermi level is 3.6 states/eV/f.u.

```
8
Lattice="4.675 0.000 0.000 0.000 4.675 0.000 2.338 2.338 12.390" Properties=species:S:1:pos:R:3 pbc="T T T"
Rb 1.167 3.507 3.097
Te 0.000 0.000 0.000
Rb 3.507 3.504 9.292
Te 4.675 2.338 6.195
Tc 2.338 4.675 6.195
Rb 3.509 1.169 3.097
Tc 2.338 2.338 0.000
Rb 5.844 5.846 9.292
```

---

# 9
VASP calculation (PBE) on a relaxed structure of RbTlTcTe2.

Summary:
The total magnetic moment is 2.363 μB/cell. The calculation puts the electronic total energy at -18.5 eV/cell. The density comes out at 6213 kg/m3. The calculation puts the uncorrected formation energy at 0.292 eV per atom. As for the space group: P4/mmm, No. 123. The value obtained for the density of states at the Fermi level is 3.9 states/eV/f.u.

```
5
Lattice="-4.229 1.683 -2.859 1.049 -4.234 -4.045 -3.179 -3.380 2.713" Properties=species:S:1:pos:R:3 pbc="T T T"
Rb 0.525 -2.117 -2.022
Tl -3.180 -2.965 -2.095
Te -2.115 0.842 -1.429
Tc 0.000 0.000 0.000
Te -1.590 -1.690 1.357
```

---

# 10
VASP calculation (PBE) on a relaxed structure of RbY2TcTe.

Summary:
The total magnetic moment is 3.140 μB/cell. The calculation puts the electronic total energy at -18.1 eV/cell. The density comes out at 4713 kg/m3. The calculation puts the uncorrected formation energy at 1.867 eV per atom. As for the space group: P4/mmm, No. 123. The value obtained for the density of states at the Fermi level is 5.4 states/eV/f.u.

```
5
Lattice="5.440 0.000 0.000 0.000 5.440 0.000 0.000 0.000 5.821" Properties=species:S:1:pos:R:3 pbc="T T T"
Tc 2.720 2.720 2.911
Y 2.720 0.000 0.000
Rb 0.000 0.000 0.000
Te 0.000 0.000 2.911
Y 0.000 2.720 0.000
```

---

# 11
VASP calculation (PBE) on a relaxed structure of RbZrTc2Te.

Summary:
The total magnetic moment is 3.682 μB/cell. The calculation puts the electronic total energy at -25.8 eV/cell. The density comes out at 5596 kg/m3. The calculation puts the uncorrected formation energy at 1.512 eV per atom. As for the space group: P4/mmm, No. 123. The value obtained for the density of states at the Fermi level is 5.5 states/eV/f.u.

```
5
Lattice="4.943 0.000 0.000 0.000 6.075 0.000 0.000 0.000 4.943" Properties=species:S:1:pos:R:3 pbc="T T T"
Te 2.472 3.037 2.472
Tc 0.000 0.000 2.472
Rb 0.000 3.037 0.000
Tc 2.472 0.000 0.000
Zr 0.000 0.000 0.000
```

---

# 12
VASP calculation (PBE) on a relaxed structure of Rb3TiTc.

Summary:
The total magnetic moment is 2.658 μB/cell. The calculation puts the electronic total energy at -11.5 eV/cell. The density comes out at 2359 kg/m3. As for the space group: Pm-3m, No. 221. For the formation energy, the calculation gives 9.7 eV/f.u. The value obtained for the density of states at the Fermi level is 20.9 states/eV/f.u.

```
5
Lattice="6.567 0.000 0.000 0.000 6.567 0.000 0.000 0.000 6.567" Properties=species:S:1:pos:R:3 pbc="T T T"
Tc 0.000 0.000 0.000
Ti 3.283 3.283 3.283
Rb 3.283 0.000 0.000
Rb 0.000 0.000 3.283
Rb 0.000 3.283 0.000
```

---

> Number 7 is which compound?

RbTcTe3

---

> What is the electronic total energy in the sixth record?

-20.8 eV/cell

---

> What is the formula in the second record?

Rb3TcTe

---

> Number 1 is which compound?

Rb2TcTe4